{
  "formula": "SbBr2",
  "functional": "PBE-GGA",
  "state": "optimized geometry",
  "e_form_raw_ev_per_atom": -0.306,
  "magmom_total_mub_per_fu": 0.00,
  "space_group": "Pnnm, No. 58",
  "lattice": [[3.7040, 0.0000, 0.0000], [0.0000, 7.4306, 0.0000], [0.0000, 0.0000, 7.4322]],
  "species": ["Sb", "Sb", "Br", "Br", "Br", "Br"],
  "fractional_positions": [[0.0000, 0.0000, 0.0000], [0.5000, 0.5000, 0.5000], [0.0000, 0.2732, 0.7278], [0.0000, 0.7268, 0.2722], [0.5000, 0.7732, 0.7722], [0.5000, 0.2268, 0.2278]]
}

=====

{
  "formula": "SbBr",
  "functional": "PBE-GGA",
  "state": "optimized geometry",
  "e_form_raw_ev_per_atom": -0.285,
  "magmom_total_mub_per_fu": 0.00,
  "space_group": "I4/m, No. 87",
  "lattice": [[-11.3439, -7.3289, -1.7005], [0.8027, -4.2380, 12.9105], [-2.2835, 3.2537, 1.2100]],
  "species": ["Sb", "Sb", "Sb", "Sb", "Sb", "Sb", "Sb", "Sb", "Br", "Br", "Br", "Br", "Br", "Br", "Br", "Br"],
  "fractional_positions": [[0.3033, 0.3034, 0.0000], [0.6967, 0.6966, 0.0000], [0.6966, 0.3033, 0.0000], [0.3034, 0.6967, 0.0000], [0.8033, 0.8034, 0.5000], [0.1967, 0.1966, 0.5000], [0.1966, 0.8033, 0.5000], [0.8034, 0.1967, 0.5000], [0.5562, 0.8236, 0.0000], [0.4438, 0.1764, 0.0000], [0.1764, 0.5562, 0.0000], [0.8236, 0.4438, 0.0000], [0.0562, 0.3236, 0.5000], [0.9438, 0.6764, 0.5000], [0.6764, 0.0562, 0.5000], [0.3236, 0.9438, 0.5000]]
}

=====

{
  "formula": "SbBr2",
  "functional": "PBE-GGA",
  "state": "optimized geometry",
  "e_form_raw_ev_per_atom": -0.285,
  "magmom_total_mub_per_fu": 0.00,
  "space_group": "Fmmm, No. 69",
  "lattice": [[0.0000, 3.4297, 8.0542], [1.9499, 0.0000, 8.0542], [1.9499, 3.4297, 0.0000]],
  "species": ["Sb", "Br", "Br"],
  "fractional_positions": [[0.5000, 0.5000, 0.5000], [0.8715, 0.8715, 0.1285], [0.1285, 0.1285, 0.8715]]
}

=====

{
  "formula": "SbBr",
  "functional": "PBE-GGA",
  "state": "optimized geometry",
  "e_form_raw_ev_per_atom": 0.000,
  "magmom_total_mub_per_fu": 0.00,
  "space_group": "P-1, No. 2",
  "lattice": [[3.5046, 0.0000, 0.0000], [3.5030, 4.9467, 0.0000], [-0.0415, -4.9371, 3.4026]],
  "species": ["Sb", "Br"],
  "fractional_positions": [[0.3076, 0.1798, 0.1585], [0.3083, 0.6798, 0.1585]]
}

=====

{
  "formula": "SbBr",
  "functional": "PBE-GGA",
  "state": "optimized geometry",
  "e_form_raw_ev_per_atom": -0.254,
  "magmom_total_mub_per_fu": 0.00,
  "space_group": "Pmn2_1, No. 31",
  "lattice": [[11.4948, 0.0000, 0.0000], [0.0000, 7.3989, 0.0000], [0.0000, 0.0000, 5.8732]],
  "species": ["Sb", "Sb", "Sb", "Sb", "Sb", "Sb", "Br", "Br", "Br", "Br", "Br", "Br"],
  "fractional_positions": [[0.7186, 0.0136, 0.2519], [0.7814, 0.9864, 0.7519], [0.2814, 0.0136, 0.2519], [0.2186, 0.9864, 0.7519], [0.0000, 0.7814, 0.7528], [0.5000, 0.2186, 0.2528], [0.8362, 0.3209, 0.7461], [0.6638, 0.6791, 0.2461], [0.1638, 0.3209, 0.7461], [0.3362, 0.6791, 0.2461], [0.0000, 0.7571, 0.2530], [0.5000, 0.2429, 0.7530]]
}

=====

{
  "formula": "Sb3Br",
  "functional": "PBE-GGA",
  "state": "optimized geometry",
  "e_form_raw_ev_per_atom": 0.043,
  "magmom_total_mub_per_fu": 0.00,
  "space_group": "P4/mmm, No. 123",
  "lattice": [[-2.5571, 2.5895, 1.3130], [-2.4858, -2.8567, 0.7928], [2.9989, -0.6390, 7.1009]],
  "species": ["Sb", "Sb", "Sb", "Br"],
  "fractional_positions": [[0.5000, 0.5000, 0.2958], [0.0000, 0.0000, 0.5000], [0.5000, 0.5000, 0.7042], [0.0000, 0.0000, 0.0000]]
}